1.
Entry from the Alexandria database: a geometry-optimized Pr5In4Pt2 structure (GGA-PBEsol).

a b c (Å): 8.1573 18.4925 3.7759
angles (deg): 90.00 90.00 90.00
With the nearest neighbours (Å) after each atom.
Space group Pbam (No. 55)
Inequivalent atoms, fractional coordinates:
1 Pr 0.0000 0.0000 0.0000 x2  8 In 3.29-3.40, 2 Pr 3.47
2 Pr 0.1188 0.4173 0.0000 x4  2 Pt 2.93
3 Pr 0.2412 0.2222 0.0000 x4  4 Pt 3.00-3.02
4 In 0.0692 0.8503 0.5000 x4  1 Pt 2.95, 1 In 3.26
5 In 0.2116 0.5713 0.5000 x4  1 Pt 2.97, 1 In 3.26, 4 Pr 3.29-3.30
6 Pt 0.0197 0.3045 0.5000 x4  6 Pr 2.93-3.02, 2 In 2.95-2.97

Properties
Spin magnetization   0.00 μB/cell
DOS(E_F)   7.94 states/eV/f.u.
Calculated formation energy   -8.4 eV per formula unit

=====

2.
Entry from the Alexandria database: a geometry-optimized BaMg2V6Cu8O26 structure (GGA-PBEsol).

a b c (Å): 8.2670 5.9501 10.7050
angles (deg): 90.00 98.40 90.00
With the nearest neighbours (Å) after each atom.
Space group Pm (No. 6)
Inequivalent atoms, fractional coordinates:
1 Ba 0.0000 0.0000 0.0000 x1  8 O 2.69-2.97
2 Mg 0.2952 0.0000 0.2425 x1  6 O 2.01-2.17
3 Mg 0.6834 0.5000 0.9536 x1  4 O 2.02-2.11
4 V 0.0206 0.5000 0.7991 x1  4 O 1.67-1.75
5 V 0.3092 0.5000 0.4649 x1  4 O 1.65-1.79
6 V 0.3509 0.5000 0.0941 x1  3 O 1.67-1.70
7 V 0.6145 0.0000 0.0884 x1  3 O 1.67-1.69
8 V 0.6662 0.0000 0.7185 x1  4 O 1.68-1.78
9 V 0.9552 0.0000 0.3791 x1  4 O 1.67-1.76
10 Cu 0.0877 0.0000 0.6916 x1  5 O 1.89-2.06
11 Cu 0.3451 0.0000 0.5308 x1  5 O 1.93-2.13
12 Cu 0.3826 0.2483 0.8220 x2  4 O 1.91-1.98
13 Cu 0.5937 0.2520 0.3609 x2  4 O 1.90-1.97
14 Cu 0.6352 0.5000 0.6511 x1  3 O 1.91-1.95
15 Cu 0.8881 0.5000 0.4798 x1  5 O 1.86-2.01
16 O 0.0546 0.0000 0.2537 x1  1 V 1.67
17 O 0.1054 0.0000 0.5131 x1  1 V 1.76, 2 Cu 1.94-1.96
18 O 0.1103 0.5000 0.4701 x1  1 V 1.65
19 O 0.1465 0.2633 0.8145 x2  1 V 1.74, 1 Cu 1.94
20 O 0.2450 0.2621 0.1146 x2  1 V 1.70
21 O 0.3323 0.0000 0.7096 x1  4 Cu 1.91-2.00
22 O 0.3634 0.2471 0.3901 x2  1 V 1.79, 1 Cu 1.97
23 O 0.4014 0.5000 0.6191 x1  1 V 1.71, 1 Cu 1.91
24 O 0.4261 0.5000 0.9354 x1  1 V 1.89, 2 Cu 1.93, 1 Mg 2.11
25 O 0.4498 0.0000 0.9772 x1  1 V 1.67
26 O 0.5170 0.5000 0.2030 x1  1 V 1.67
27 O 0.5487 0.0000 0.2498 x1  1 V 1.89, 2 Cu 1.92, 1 Mg 2.09
28 O 0.5806 0.0000 0.5638 x1  1 V 1.70
29 O 0.6135 0.2523 0.7931 x2  1 V 1.78, 1 Cu 1.98
30 O 0.6434 0.5000 0.4717 x1  4 Cu 1.90-2.01
31 O 0.7304 0.2238 0.0625 x2  1 V 1.69
32 O 0.8257 0.2299 0.3725 x2  1 V 1.73, 1 Cu 1.91
33 O 0.8702 0.0000 0.7265 x1  1 V 1.68
34 O 0.8733 0.5000 0.6644 x1  1 V 1.75, 1 Cu 1.95
35 O 0.9185 0.5000 0.9226 x1  1 V 1.67

Properties
Spin magnetization   3.76 μB/cell
DOS(E_F)   11.43 states/eV/f.u.
Formation energy from raw total energies   -7289 kJ/mol of formula units

=====

3.
Entry from the Alexandria database: a geometry-optimized Li6VO5F structure (GGA-PBEsol).

a b c (Å): 5.4854 5.5115 10.0688
angles (deg): 88.53 88.13 60.76
With the nearest neighbours (Å) after each atom.
Space group P1 (No. 1)
Inequivalent atoms, fractional coordinates:
1 Li 0.0000 0.0000 0.0000 x1  3 O 1.92-1.95, 1 F 1.94
2 Li 0.0012 0.6671 0.8811 x1  1 F 1.78, 3 O 1.82-1.95
3 Li 0.0099 0.6535 0.4989 x1  2 O 1.83-1.98, 1 F 1.90
4 Li 0.2844 0.0088 0.4975 x1  3 O 1.92-1.94, 1 F 1.95
5 Li 0.2977 0.6219 0.2656 x1  4 O 1.97-2.20
6 Li 0.3424 0.6421 0.6539 x1  4 O 1.96-2.09
7 Li 0.3646 0.2774 0.9927 x1  2 O 1.84-1.97, 1 F 1.90
8 Li 0.6152 0.0037 0.7658 x1  3 O 1.96-1.99
9 Li 0.6252 0.6436 0.9964 x1  1 F 1.83, 2 O 1.91-2.02
10 Li 0.6326 0.6716 0.3818 x1  1 F 1.77, 3 O 1.81-1.95
11 Li 0.6422 0.2789 0.4927 x1  1 F 1.82, 2 O 1.92-2.03
12 Li 0.6750 0.9547 0.1537 x1  4 O 1.98-2.03
13 V 0.0004 0.2890 0.2424 x1  4 O 1.71-1.74
14 V 0.9796 0.3060 0.7429 x1  4 O 1.71-1.73
15 O 0.0053 0.9924 0.1936 x1  1 V 1.71
16 O 0.2779 0.0207 0.6898 x1  1 V 1.71
17 O 0.2950 0.2937 0.1863 x1  1 V 1.71
18 O 0.3417 0.6455 0.4574 x1  6 Li 1.81-1.98
19 O 0.6881 0.9505 0.9568 x1  6 Li 1.82-1.98
20 O 0.6905 0.2978 0.6902 x1  1 V 1.71
21 O 0.6980 0.5842 0.1934 x1  1 V 1.74
22 O 0.9742 0.3241 0.4133 x1  1 V 1.73
23 O 0.9832 0.6076 0.6934 x1  1 V 1.73
24 O 0.9897 0.3233 0.9139 x1  1 V 1.73, 1 Li 1.94
25 F 0.3083 0.6393 0.9498 x1  4 Li 1.78-1.94
26 F 0.6554 0.9530 0.4505 x1  4 Li 1.77-1.95

Properties
Spin magnetization   0.19 μB/cell
DOS(E_F)   0.00 states/eV/f.u.
Formation energy from raw total energies   -2868 kJ/mol of formula units

=====

4.
Entry from the Alexandria database: a geometry-optimized AlPb7 structure (GGA-PBEsol).

a b c (Å): 9.7011 9.7011 9.7011
angles (deg): 90.00 90.00 90.00
With the nearest neighbours (Å) after each atom.
Space group Fm-3m (No. 225)
Inequivalent atoms, fractional coordinates:
1 Al 0.0000 0.0000 0.0000 x4  12 Pb 3.43
2 Pb 0.0000 0.0000 0.5000 x4  12 Pb 3.43
3 Pb 0.0000 0.2500 0.2500 x24  10 Pb 3.43, 2 Al 3.43

Properties
Spin magnetization   0.00 μB/cell
DOS(E_F)   3.55 states/eV/f.u.
Calculated formation energy   0.7 eV per formula unit

=====

5.
Entry from the Alexandria database: a geometry-optimized RbTlSe2 structure (GGA-PBEsol).

a b c (Å): 11.6649 11.6664 16.3436
angles (deg): 90.00 101.33 90.00
With the nearest neighbours (Å) after each atom.
Space group C2/c (No. 15)
Inequivalent atoms, fractional coordinates:
1 Rb 0.0256 0.1851 0.3924 x8  7 Se 3.41-3.70
2 Rb 0.2244 0.4302 0.1206 x8  7 Se 3.50-3.67
3 Tl 0.0949 0.1780 0.6547 x8  4 Se 2.64-2.67
4 Tl 0.1529 0.4289 0.8366 x8  4 Se 2.65-2.68
5 Se 0.0000 0.0351 0.7500 x4  2 Tl 2.67
6 Se 0.0000 0.4259 0.2500 x4  2 Tl 2.66
7 Se 0.0823 0.2844 0.9412 x8  2 Tl 2.65
8 Se 0.1789 0.0327 0.5557 x8  2 Tl 2.66
9 Se 0.2353 0.1908 0.2641 x8  2 Tl 2.64-2.68

Properties
Spin magnetization   0.00 μB/cell
Energy relative to the lowest polymorph listed for this composition   0.0000 eV/atom
Formation energy from raw total energies   -246 kJ/mol of formula units

=====

6.
Entry from the Alexandria database: a geometry-optimized Li2NiAu structure (GGA-PBEsol).

a b c (Å): 3.6820 3.6820 7.5695
angles (deg): 90.00 90.00 90.00
With the nearest neighbours (Å) after each atom.
Space group I4/mmm (No. 139)
Inequivalent atoms, fractional coordinates:
1 Li 0.0000 0.5000 0.2500 x4  4 Li 2.60, 4 Au 2.64, 4 Ni 2.64
2 Ni 0.0000 0.0000 0.0000 x2  4 Au 2.60, 8 Li 2.64
3 Au 0.0000 0.0000 0.5000 x2  4 Ni 2.60, 8 Li 2.64

Properties
Spin magnetization   0.00 μB/cell
DOS(E_F)   1.80 states/eV/f.u.
Calculated formation energy   -0.9 eV per formula unit